Model i:
{"formula": "Fe2CuAg", "functional": "SCAN", "state": "single point on PBEsol structure", "cell": [[-0.716, 2.562, -1.217], [-2.741, -0.948, -0.384], [-1.481, 2.120, 5.336]], "species": ["Ag", "Cu", "Fe", "Fe"], "fractional_positions": [[0.000, 0.000, 0.502], [0.500, 0.500, 0.775], [0.000, 0.000, 0.009], [0.500, 0.500, 0.214]], "sg": "P4mm (99)", "dos_ef_per_ev_cell": 2.542}



Model ii:
{"formula": "Fe2CuAg", "functional": "SCAN", "state": "single point on PBEsol structure", "cell": [[4.153, 0.000, 0.000], [2.076, 3.596, 0.000], [2.076, 1.199, 3.391]], "species": ["Ag", "Cu", "Fe", "Fe"], "fractional_positions": [[0.500, 0.500, 0.500], [0.250, 0.250, 0.250], [0.000, 0.000, 0.000], [0.750, 0.750, 0.750]], "sg": "F-43m (216)", "dos_ef_per_ev_cell": 3.485}



Model iii:
{"formula": "Fe2CuAg", "functional": "SCAN", "state": "single point on PBEsol structure", "cell": [[4.185, 0.000, 0.000], [2.092, 3.624, 0.000], [2.092, 1.208, 3.417]], "species": ["Ag", "Cu", "Fe", "Fe"], "fractional_positions": [[0.000, 0.000, 0.000], [0.500, 0.500, 0.500], [0.250, 0.250, 0.250], [0.750, 0.750, 0.750]], "sg": "Fm-3m (225)", "dos_ef_per_ev_cell": 1.949}



What should be chosen as the most stable of them? Choose model i.



Model i:
{"formula": "In2CuAg", "functional": "SCAN", "state": "single point on PBEsol structure", "cell": [[-2.384, 2.059, -1.959], [1.029, -1.664, -3.002], [-3.984, -3.871, 0.781]], "species": ["Ag", "Cu", "In", "In"], "fractional_positions": [[0.000, 0.000, 0.497], [0.500, 0.500, 0.759], [0.000, 0.000, 0.972], [0.500, 0.500, 0.272]], "sg": "Pmm2 (25)", "dos_ef_per_ev_cell": 1.072}



Model ii:
{"formula": "In2CuAg", "functional": "SCAN", "state": "single point on PBEsol structure", "cell": [[-1.639, 1.817, -3.330], [-0.636, -3.708, -1.710], [-2.752, 0.774, 4.341]], "species": ["Ag", "Cu", "In", "In"], "fractional_positions": [[0.500, 0.500, 0.000], [0.250, 0.750, 0.500], [0.000, 0.000, 0.000], [0.750, 0.250, 0.500]], "sg": "I-4m2 (119)", "dos_ef_per_ev_cell": 1.186}



What should be chosen as the most stable of them? Choose model i.



Model i:
{"formula": "K2CuAg", "functional": "SCAN", "state": "single point on PBEsol structure", "cell": [[-3.479, -0.486, 0.829], [-0.150, -2.800, -2.273], [2.543, -5.961, 7.177]], "species": ["Ag", "Cu", "K", "K"], "fractional_positions": [[0.000, 0.000, 0.598], [0.500, 0.500, 0.650], [0.000, 0.000, 0.916], [0.500, 0.500, 0.336]], "sg": "P4mm (99)", "dos_ef_per_ev_cell": 1.859}



Model ii:
{"formula": "K2CuAg", "functional": "SCAN", "state": "single point on PBEsol structure", "cell": [[4.728, 0.000, 0.000], [0.000, 4.728, 0.000], [0.000, 0.000, 6.697]], "species": ["Ag", "Cu", "K", "K"], "fractional_positions": [[0.000, 0.000, 0.389], [0.500, 0.500, 0.860], [0.000, 0.000, 0.885], [0.500, 0.500, 0.365]], "sg": "P4mm (99)"}



What should be chosen as the most stable of them? Choose model i.



Model i:
{"formula": "La2CuAg", "functional": "SCAN", "state": "single point on PBEsol structure", "cell": [[3.700, 0.117, 0.000], [-0.117, 3.700, 0.000], [0.000, 0.000, 7.133]], "species": ["Cu", "Ag", "La", "La"], "fractional_positions": [[0.500, 0.500, 0.500], [0.500, 0.500, 0.000], [0.000, 0.000, 0.729], [0.000, 0.000, 0.271]], "sg": "P4/mmm (123)", "dos_ef_per_ev_cell": 3.109}



Model ii:
{"formula": "La2CuAg", "functional": "SCAN", "state": "single point on PBEsol structure", "cell": [[-2.381, -0.510, -2.729], [1.963, -4.237, -0.920], [-3.235, 0.031, 5.267]], "species": ["Ag", "Cu", "La", "La"], "fractional_positions": [[0.546, 0.546, 0.092], [0.219, 0.719, 0.439], [0.963, 0.963, 0.925], [0.772, 0.272, 0.544]], "sg": "Imm2 (44)", "dos_ef_per_ev_cell": 3.327}



Model iii:
{"formula": "La2CuAg", "functional": "SCAN", "state": "single point on PBEsol structure", "cell": [[5.198, 0.000, 0.000], [2.599, 4.502, 0.000], [2.599, 1.501, 4.244]], "species": ["Cu", "Ag", "La", "La"], "fractional_positions": [[0.000, 0.000, 0.000], [0.500, 0.500, 0.500], [0.750, 0.750, 0.750], [0.250, 0.250, 0.250]], "sg": "Fm-3m (225)", "dos_ef_per_ev_cell": 2.384}



What should be chosen as the most stable of them? Choose model i.



Model i:
{"formula": "LaCuAg2Pt", "functional": "SCAN", "state": "single point on PBEsol structure", "cell": [[4.662, 0.000, 0.000], [0.000, 5.003, 0.000], [0.000, 0.000, 5.003]], "species": ["Cu", "Ag", "Ag", "Pt", "La"], "fractional_positions": [[0.500, 0.000, 0.000], [0.000, 0.000, 0.500], [0.000, 0.500, 0.000], [0.000, 0.000, 0.000], [0.500, 0.500, 0.500]], "sg": "P4/mmm (123)", "dos_ef_per_ev_cell": 2.910}



Model ii:
{"formula": "LaCuAg2Pt", "functional": "SCAN", "state": "single point on PBEsol structure", "cell": [[4.601, 0.000, 0.000], [0.000, 4.601, 0.000], [0.000, 0.000, 5.309]], "species": ["Cu", "Ag", "Ag", "Pt", "La"], "fractional_positions": [[0.000, 0.000, 0.000], [0.000, 0.500, 0.000], [0.500, 0.000, 0.000], [0.500, 0.500, 0.500], [0.000, 0.000, 0.500]], "sg": "P4/mmm (123)", "dos_ef_per_ev_cell": 2.130}



What should be chosen as the most stable of them? Choose model i.



Model i:
{"formula": "LiCu2Ag", "functional": "SCAN", "state": "single point on PBEsol structure", "cell": [[-2.969, 1.948, 0.404], [-1.474, -2.665, 2.019], [3.730, 1.984, 2.036]], "species": ["Ag", "Cu", "Cu", "Li"], "fractional_positions": [[0.000, 0.500, 0.000], [0.751, 0.751, 0.502], [0.249, 0.249, 0.498], [0.500, 0.000, 0.000]], "sg": "Immm (71)", "dos_ef_per_ev_cell": 1.062}



Model ii:
{"formula": "LiCu2Ag", "functional": "SCAN", "state": "single point on PBEsol structure", "cell": [[4.209, 0.000, 0.000], [2.105, 3.645, 0.000], [2.105, 1.215, 3.437]], "species": ["Ag", "Cu", "Cu", "Li"], "fractional_positions": [[0.000, 0.000, 0.000], [0.250, 0.250, 0.250], [0.750, 0.750, 0.750], [0.500, 0.500, 0.500]], "sg": "Fm-3m (225)", "dos_ef_per_ev_cell": 1.256}



Model iii:
{"formula": "LiCu2Ag", "functional": "SCAN", "state": "single point on PBEsol structure", "cell": [[2.648, 0.000, 0.025], [0.000, 3.636, 0.000], [-0.058, 0.000, 5.402]], "species": ["Ag", "Cu", "Cu", "Li"], "fractional_positions": [[0.500, 0.500, 0.749], [0.000, 0.000, 0.024], [0.500, 0.500, 0.240], [0.000, 0.000, 0.488]], "sg": "Pm (6)", "dos_ef_per_ev_cell": 1.135}



Model iv:
{"formula": "LiCu2Ag", "functional": "SCAN", "state": "single point on PBEsol structure", "cell": [[-1.152, -0.054, -4.016], [0.132, -3.572, -2.164], [-3.551, -1.891, -1.130]], "species": ["Ag", "Cu", "Cu", "Li"], "fractional_positions": [[0.500, 0.500, 0.500], [0.000, 0.000, 0.000], [0.750, 0.750, 0.750], [0.250, 0.250, 0.250]], "sg": "F-43m (216)", "dos_ef_per_ev_cell": 1.309}



What should be chosen as the most stable of them? Choose model i.



Model i:
{"formula": "LiCu2Ag", "functional": "SCAN", "state": "single point on PBEsol structure", "cell": [[3.612, 0.000, 0.000], [0.000, 3.681, 0.000], [0.000, 0.000, 3.857]], "species": ["Ag", "Cu", "Cu", "Li"], "fractional_positions": [[0.000, 0.500, 0.500], [0.000, 0.000, 0.000], [0.500, 0.500, 0.000], [0.500, 0.000, 0.500]], "sg": "Pmmm (47)", "dos_ef_per_ev_cell": 1.270}



Model ii:
{"formula": "LiCu2Ag", "functional": "SCAN", "state": "single point on PBEsol structure", "cell": [[2.651, 0.000, 0.000], [0.000, 4.636, -0.012], [0.000, -1.752, 4.292]], "species": ["Ag", "Cu", "Cu", "Li"], "fractional_positions": [[0.500, 0.500, 0.500], [0.000, 0.500, 0.000], [0.000, 0.000, 0.500], [0.500, 0.000, 0.000]], "sg": "Cmmm (65)", "dos_ef_per_ev_cell": 1.230}



Model iii:
{"formula": "LiCu2Ag", "functional": "SCAN", "state": "single point on PBEsol structure", "cell": [[-1.981, 1.603, 0.748], [-2.119, -3.454, 1.789], [3.396, 0.522, 3.160]], "species": ["Ag", "Cu", "Cu", "Li"], "fractional_positions": [[0.500, 0.000, 0.000], [0.249, 0.253, 0.497], [0.751, 0.747, 0.503], [0.000, 0.500, 0.000]], "sg": "C2/m (12)", "dos_ef_per_ev_cell": 1.027}



What should be chosen as the most stable of them? Choose model i.



Model i:
{"formula": "Mn2CuAg", "functional": "SCAN", "state": "single point on PBEsol structure", "cell": [[2.683, 0.000, 0.000], [0.000, 2.683, 0.000], [0.000, 0.000, 6.891]], "species": ["Ag", "Cu", "Mn", "Mn"], "fractional_positions": [[0.500, 0.500, 0.500], [0.000, 0.000, 0.775], [0.500, 0.500, 0.027], [0.000, 0.000, 0.199]], "sg": "P4mm (99)", "dos_ef_per_ev_cell": 2.302}



Model ii:
{"formula": "Mn2CuAg", "functional": "SCAN", "state": "single point on PBEsol structure", "cell": [[4.316, 0.000, 0.000], [2.158, 3.738, 0.000], [2.158, 1.246, 3.524]], "species": ["Ag", "Cu", "Mn", "Mn"], "fractional_positions": [[0.000, 0.000, 0.000], [0.500, 0.500, 0.500], [0.250, 0.250, 0.250], [0.750, 0.750, 0.750]], "sg": "Fm-3m (225)", "dos_ef_per_ev_cell": 1.923}



What should be chosen as the most stable of them? Choose model ii.



Model i:
{"formula": "CuAg2Mo", "functional": "SCAN", "state": "single point on PBEsol structure", "cell": [[2.628, 0.000, -0.036], [0.000, 4.138, 0.000], [-1.245, 0.000, 5.578]], "species": ["Ag", "Ag", "Cu", "Mo"], "fractional_positions": [[0.062, 0.000, 0.001], [0.685, 0.500, 0.249], [0.829, 0.000, 0.531], [0.423, 0.500, 0.719]], "sg": "Pm (6)", "dos_ef_per_ev_cell": 1.764}



Model ii:
{"formula": "CuAg2Mo", "functional": "SCAN", "state": "single point on PBEsol structure", "cell": [[-1.922, -1.875, -0.566], [0.304, -2.583, 0.873], [-4.909, 0.637, 7.904]], "species": ["Ag", "Ag", "Cu", "Mo"], "fractional_positions": [[0.246, 0.246, 0.263], [0.754, 0.754, 0.737], [0.500, 0.500, 0.500], [0.000, 0.000, 0.000]], "sg": "R-3m (166)", "dos_ef_per_ev_cell": 2.717}



Model iii:
{"formula": "CuAg2Mo", "functional": "SCAN", "state": "single point on PBEsol structure", "cell": [[3.966, 0.000, 0.000], [0.000, 3.966, 0.000], [-1.983, -1.983, 3.819]], "species": ["Ag", "Ag", "Cu", "Mo"], "fractional_positions": [[0.750, 0.250, 0.500], [0.250, 0.750, 0.500], [0.500, 0.500, 0.000], [0.000, 0.000, 0.000]], "sg": "I4/mmm (139)", "dos_ef_per_ev_cell": 3.032}



Model iv:
{"formula": "CuAg2Mo", "functional": "SCAN", "state": "single point on PBEsol structure", "cell": [[-1.519, -2.063, 0.723], [-1.033, -0.827, -4.532], [5.076, -1.469, 1.570]], "species": ["Ag", "Ag", "Cu", "Mo"], "fractional_positions": [[0.767, 0.767, 0.534], [0.233, 0.233, 0.466], [0.500, 0.000, 0.000], [0.000, 0.500, 0.000]], "sg": "Immm (71)", "dos_ef_per_ev_cell": 3.336}



What should be chosen as the most stable of them? Choose model ii.



Model i:
{"formula": "Cu2AgOs", "functional": "SCAN", "state": "single point on PBEsol structure", "cell": [[2.633, 0.000, 0.000], [0.000, 2.633, 0.000], [0.000, 0.000, 7.718]], "species": ["Ag", "Cu", "Cu", "Os"], "fractional_positions": [[0.500, 0.500, 0.500], [0.000, 0.000, 0.760], [0.000, 0.000, 0.240], [0.500, 0.500, 0.000]], "sg": "P4/mmm (123)", "dos_ef_per_ev_cell": 3.122}



Model ii:
{"formula": "Cu2AgOs", "functional": "SCAN", "state": "single point on PBEsol structure", "cell": [[-0.934, -1.575, 1.820], [2.754, -3.287, -1.432], [2.323, 3.874, 2.713]], "species": ["Ag", "Cu", "Cu", "Os"], "fractional_positions": [[0.740, 0.240, 0.480], [0.987, 0.987, 0.974], [0.259, 0.759, 0.517], [0.514, 0.514, 0.028]], "sg": "Imm2 (44)", "dos_ef_per_ev_cell": 2.724}



What should be chosen as the most stable of them? Choose model i.



Model i:
{"formula": "CuAgP2", "functional": "SCAN", "state": "single point on PBEsol structure", "cell": [[2.602, 0.000, 0.000], [0.000, 2.602, 0.000], [0.000, 0.000, 8.895]], "species": ["Ag", "Cu", "P", "P"], "fractional_positions": [[0.000, 0.000, 0.522], [0.500, 0.500, 0.756], [0.000, 0.000, 0.944], [0.500, 0.500, 0.278]], "sg": "P4mm (99)", "dos_ef_per_ev_cell": 1.083}



Model ii:
{"formula": "CuAgP2", "functional": "SCAN", "state": "single point on PBEsol structure", "cell": [[-1.039, -2.247, -0.827], [2.779, -1.441, 0.422], [-1.352, -0.482, 7.253]], "species": ["Ag", "Cu", "P", "P"], "fractional_positions": [[0.316, 0.000, 0.516], [0.940, 0.500, 0.758], [0.064, 0.000, 0.001], [0.180, 0.500, 0.225]], "sg": "Pm (6)", "dos_ef_per_ev_cell": 1.471}



What should be chosen as the most stable of them? Choose model ii.



Model i:
{"formula": "CuReAg2", "functional": "SCAN", "state": "single point on PBEsol structure", "cell": [[2.673, 0.000, 0.000], [0.000, 2.673, 0.000], [0.000, 0.000, 8.206]], "species": ["Ag", "Ag", "Cu", "Re"], "fractional_positions": [[0.000, 0.000, 0.996], [0.500, 0.500, 0.267], [0.000, 0.000, 0.507], [0.500, 0.500, 0.730]], "sg": "P4mm (99)", "dos_ef_per_ev_cell": 1.600}



Model ii:
{"formula": "CuReAg2", "functional": "SCAN", "state": "single point on PBEsol structure", "cell": [[2.731, 0.000, 0.000], [1.365, 2.365, 0.000], [1.365, 0.788, 9.138]], "species": ["Ag", "Ag", "Cu", "Re"], "fractional_positions": [[0.999, 0.999, 0.003], [0.755, 0.755, 0.736], [0.502, 0.502, 0.495], [0.245, 0.245, 0.266]], "sg": "R3m (160)", "dos_ef_per_ev_cell": 2.523}



What should be chosen as the most stable of them? Choose model ii.